The following is a PBE-GGA calculation of a relaxed structure of Tb7CeNd3, from Alexandria.

a b c (Å): 8.721 7.091 7.091
angles (deg): 120.00 90.00 90.00
Fractional positions:
1 Tb 0.121 0.169 0.831
2 Tb 0.121 0.169 0.337
3 Nd 0.780 0.498 0.502
4 Tb 0.447 0.833 0.666
5 Tb 0.123 0.667 0.333
6 Nd 0.780 0.498 0.997
7 Nd 0.780 0.003 0.502
8 Tb 0.447 0.334 0.167
9 Tb 0.447 0.833 0.167
10 Ce 0.445 0.333 0.667
11 Tb 0.121 0.663 0.831

Calculated values
crystal system = trigonal
energy of formation from the pure elements = 0.191 eV per atom
magnetic moment = 0.86 Bohr magnetons per cell
SG = P3m1, No. 156

***

The following is a PBE-GGA calculation of a relaxed structure of TbCeNd2, from Alexandria.

a b c (Å): 3.611 3.611 11.855
angles (deg): 81.24 81.24 60.00
Fractional positions:
1 Tb 0.500 0.500 0.500
2 Nd 0.251 0.251 0.247
3 Ce 0.667 0.667 0.000
4 Nd 0.082 0.082 0.754

Calculated values
crystal system = trigonal
energy of formation from the pure elements = 0.060 eV per atom
magnetic moment = 0.58 Bohr magnetons per cell
distance to the lowest polymorph of the same formula = 0.0 meV/atom
SG = R3m, No. 160

***

The following is a PBE-GGA calculation of a relaxed structure of Tb2Ce2Nd7, from Alexandria.

a b c (Å): 6.118 8.148 8.148
angles (deg): 92.64 75.15 75.15
Fractional positions:
1 Tb 0.579 0.776 0.776
2 Nd 0.000 0.000 0.000
3 Nd 0.803 0.411 0.411
4 Nd 0.181 0.583 0.070
5 Ce 0.500 0.217 0.783
6 Nd 0.181 0.070 0.583
7 Tb 0.421 0.224 0.224
8 Nd 0.819 0.417 0.930
9 Nd 0.197 0.589 0.589
10 Nd 0.819 0.930 0.417
11 Ce 0.500 0.783 0.217

Calculated values
crystal system = monoclinic
energy of formation from the pure elements = 0.190 eV per atom
magnetic moment = 2.02 Bohr magnetons per cell
SG = C2/m, No. 12

***

The following is a PBE-GGA calculation of a relaxed structure of Tb6CeNd, from Alexandria.

a b c (Å): 5.050 5.050 10.088
angles (deg): 90.00 90.00 90.00
Fractional positions:
1 Tb 0.500 0.500 0.500
2 Tb 0.000 0.500 0.254
3 Ce 0.000 0.000 0.500
4 Tb 0.500 0.000 0.254
5 Nd 0.000 0.000 0.000
6 Tb 0.000 0.500 0.746
7 Tb 0.500 0.000 0.746
8 Tb 0.500 0.500 0.000

Calculated values
crystal system = tetragonal
energy of formation from the pure elements = 0.042 eV per atom
magnetic moment = 0.79 Bohr magnetons per cell
distance to the lowest polymorph of the same formula = 0.0 meV/atom
SG = P4/mmm, No. 123

***

The following is a PBE-GGA calculation of a relaxed structure of Tb10CeNd4, from Alexandria.

a b c (Å): 8.026 8.922 8.922
angles (deg): 78.33 63.27 63.27
Fractional positions:
1 Tb 0.706 0.793 0.207
2 Tb 0.500 0.207 0.207
3 Nd 0.774 0.000 0.452
4 Tb 0.293 0.793 0.207
5 Tb 0.707 0.207 0.793
6 Tb 0.913 0.793 0.793
7 Tb 0.087 0.207 0.207
8 Tb 0.250 0.500 0.500
9 Nd 0.226 0.000 0.548
10 Nd 0.226 0.548 0.000
11 Tb 0.750 0.500 0.500
12 Tb 0.294 0.207 0.793
13 Nd 0.774 0.452 0.000
14 Ce 0.000 0.000 0.000
15 Tb 0.500 0.793 0.793

Calculated values
crystal system = tetragonal
energy of formation from the pure elements = 0.252 eV per atom
magnetic moment = 0.00 Bohr magnetons per cell
SG = I4/mmm, No. 139

***

The following is a PBE-GGA calculation of a relaxed structure of Tb2CeNd2, from Alexandria.

a b c (Å): 4.566 4.566 8.947
angles (deg): 104.78 104.78 90.00
Fractional positions:
1 Tb 0.750 0.250 0.500
2 Nd 0.593 0.593 0.186
3 Ce 0.000 0.000 0.000
4 Nd 0.407 0.407 0.814
5 Tb 0.250 0.750 0.500

Calculated values
crystal system = tetragonal
energy of formation from the pure elements = 0.385 eV per atom
magnetic moment = 0.72 Bohr magnetons per cell
SG = I4/mmm, No. 139